# YCdNi2Rh

YCdNi2Rh after structural relaxation (GGA-PBE, Alexandria via LeMat-Bulk).

The structure belongs to space group P4/mmm (No. 123); the cell edges are 4.546, 4.546 and 5.472 Å and the angles 90.00°, 90.00° and 90.00°. The distinct sites, in fractional coordinates, are Y at (0.000, 0.000, 0.000), Cd at (0.000, 0.000, 0.500), Ni at (0.000, 0.500, 0.000) and Rh at (0.500, 0.500, 0.500).

The value obtained for the final energy is -3.81 eV/atom. As for the excess energy over the best structure of this formula in the dataset: 974.4 meV/atom. Its density of states at the Fermi level is 2.207 states/eV/cell. For the density, the calculation gives 6191 kg/m³.



# CeY2S4

CeY2S4 after structural relaxation (GGA-PBE, Alexandria via LeMat-Bulk).

The structure belongs to space group Cmcm (No. 63); the cell edges are 3.894, 12.983 and 13.192 Å and the angles 90.00°, 90.00° and 90.00°. The distinct sites, in fractional coordinates, are Ce at (0.000, 0.121, 0.250), Y at (0.000, 0.369, 0.067), S at (0.000, 0.000, 0.000), S at (0.000, 0.273, 0.621) and S at (0.000, 0.462, 0.250).

The value obtained for the final energy is -7.12 eV/atom. For the energy relative to the elements, uncorrected, the calculation gives -2.064 eV/atom. Its density of states at the Fermi level is 25.696 states/eV/cell. For the density, the calculation gives 4444 kg/m³.



Q: Which value of density does entry 1 give?
A: 6191 kg/m³



Q: Look up the density of the first one.
A: 6191 kg/m³



Q: Number 1 is which compound?
A: YCdNi2Rh